An optimized crystal structure of Pm6PrDy2Th. Source: Alexandria, functional PBE.

Values from the calculation:
Energy of formation from the pure elements in kJ/mol of formula units: 139
Space-group type: C2/c, No. 15
E in eV per cell: -96.94
Volume in A^3/atom: 34.19

a b c (Å): 9.7922 8.8640 8.8640
angles (deg): 116.17 94.19 94.19
Closest atoms and distances in Å follow each position.
Positions (direct):
Dy1 0.4494 0.8035 0.7127  5 Pm 3.33-3.51, 2 Th 3.39-3.47, 1 Pr 3.59
Pm1 0.1192 0.7020 0.4872  3 Pm 3.30-3.46, 3 Dy 3.33-3.51, 2 Pr 3.48-3.61
Th1 0.2500 0.9696 0.0304  4 Dy 3.39-3.47, 4 Pm 3.44-3.62
Dy2 0.9494 0.7127 0.8035  5 Pm 3.33-3.51, 2 Th 3.39-3.47, 1 Pr 3.59
Pm2 0.1837 0.5777 0.0186  2 Pm 3.30-3.70, 1 Th 3.44, 1 Dy 3.48, 1 Pr 3.50
Pm3 0.8808 0.2980 0.5128  3 Pm 3.30-3.46, 3 Dy 3.33-3.51, 2 Pr 3.48-3.61
Pm4 0.9415 0.8921 0.2413  6 Pm 3.46-3.81, 2 Dy 3.49-3.78, 2 Th 3.62-3.84
Pm5 0.3163 0.9814 0.4223  2 Pm 3.30-3.70, 1 Th 3.44, 1 Dy 3.48, 1 Pr 3.50
Pm6 0.5585 0.7587 0.1079  6 Pm 3.46-3.81, 2 Dy 3.49-3.78, 2 Th 3.62-3.84
Pm7 0.3808 0.5128 0.2980  3 Pm 3.30-3.46, 3 Dy 3.33-3.51, 2 Pr 3.48-3.61
Dy3 0.5506 0.1965 0.2873  5 Pm 3.33-3.51, 2 Th 3.39-3.47, 1 Pr 3.59
Th2 0.7500 0.0304 0.9696  4 Dy 3.39-3.47, 4 Pm 3.44-3.62
Pm8 0.6192 0.4872 0.7020  3 Pm 3.30-3.46, 3 Dy 3.33-3.51, 2 Pr 3.48-3.61
Pm9 0.0585 0.1079 0.7587  6 Pm 3.46-3.81, 2 Dy 3.49-3.78, 2 Th 3.62-3.84
Pr1 0.7500 0.5960 0.4040  6 Pm 3.48-3.61, 2 Dy 3.59
Pm10 0.6837 0.0186 0.5777  2 Pm 3.30-3.70, 1 Th 3.44, 1 Dy 3.48, 1 Pr 3.50
Dy4 0.0506 0.2873 0.1965  5 Pm 3.33-3.51, 2 Th 3.39-3.47, 1 Pr 3.59
Pm11 0.8163 0.4223 0.9814  2 Pm 3.30-3.70, 1 Th 3.44, 1 Dy 3.48, 1 Pr 3.50
Pm12 0.4415 0.2413 0.8921  6 Pm 3.46-3.81, 2 Dy 3.49-3.78, 2 Th 3.62-3.84
Pr2 0.2500 0.4040 0.5960  6 Pm 3.48-3.61, 2 Dy 3.59